# 1
KHI2, relaxed, DFT PBE; crystal system = trigonal; VASP energy = -0.0612 Ha/atom; magnetization = 0.0 μB per formula unit; space group = No. 166
1.0
2.147 1.240 9.339
-2.147 1.240 9.339
0.000 -2.480 9.339
K H I
1 1 2
Direct
0.000 0.000 0.000
0.500 0.500 0.500
0.114 0.114 0.114
0.886 0.886 0.886


# 2
KHI, relaxed, DFT PBE; crystal system = orthorhombic; VASP energy = -0.1090 Ha/atom; magnetization = 0.0 μB per formula unit; space group = No. 44
1.0
-2.467 4.479 4.268
2.467 -4.479 4.268
2.467 4.479 -4.268
K H I
2 2 2
Direct
0.000 0.000 0.000
0.511 0.011 0.500
0.295 0.338 0.958
0.380 0.338 0.042
0.422 0.672 0.750
0.922 0.672 0.250


# 3
KHI2, relaxed, DFT PBE; crystal system = monoclinic; VASP energy = -0.0959 Ha/atom; magnetization = 0.0 μB per formula unit; space group = No. 14
1.0
7.532 0.000 0.000
0.000 9.286 0.000
-2.316 0.000 9.182
K H I
4 4 8
Direct
0.148 0.039 0.276
0.148 0.461 0.776
0.852 0.539 0.224
0.852 0.961 0.724
0.370 0.700 0.641
0.370 0.800 0.141
0.630 0.200 0.859
0.630 0.300 0.359
0.098 0.745 0.018
0.098 0.755 0.518
0.419 0.141 0.747
0.419 0.359 0.247
0.581 0.641 0.753
0.581 0.859 0.253
0.902 0.245 0.482
0.902 0.255 0.982


# 4
K2HI3, relaxed, DFT PBE; crystal system = monoclinic; VASP energy = -0.0973 Ha/atom; magnetization = 0.0 μB per formula unit; space group = No. 15
1.0
6.418 -4.541 0.000
6.418 4.541 0.000
-4.272 0.000 8.429
K H I
4 2 6
Direct
0.048 0.657 0.857
0.343 0.952 0.643
0.657 0.048 0.357
0.952 0.343 0.143
0.473 0.527 0.750
0.527 0.473 0.250
0.071 0.929 0.250
0.313 0.384 0.569
0.384 0.313 0.069
0.616 0.687 0.931
0.687 0.616 0.431
0.929 0.071 0.750


# 5
KHI, relaxed, DFT PBE; crystal system = triclinic; VASP energy = -0.1092 Ha/atom; magnetization = 0.0 μB per formula unit; space group = No. 1
1.0
5.675 0.000 0.000
-2.797 5.548 0.000
-0.050 -0.319 7.059
K H I
2 2 2
Direct
0.000 0.000 0.000
0.308 0.615 0.495
0.630 0.248 0.270
0.672 0.354 0.207
0.317 0.630 0.994
0.990 0.985 0.501


# 6
K2HI, relaxed, DFT PBE; crystal system = trigonal; VASP energy = -0.0935 Ha/atom; magnetization = 0.0 μB per formula unit; space group = No. 160
1.0
2.246 1.297 7.866
-2.246 1.297 7.866
0.000 -2.593 7.866
K H I
2 1 1
Direct
0.000 0.000 0.000
0.197 0.197 0.197
0.600 0.600 0.600
0.431 0.431 0.431


# 7
K3H4I, relaxed, DFT PBE; crystal system = monoclinic; VASP energy = -0.0945 Ha/atom; magnetization = 0.0 μB per formula unit; space group = No. 12
1.0
10.862 -2.300 0.000
10.862 2.300 0.000
-1.301 0.000 5.235
K H I
3 4 1
Direct
0.000 0.000 0.000
0.188 0.188 0.690
0.812 0.812 0.310
0.385 0.385 0.865
0.405 0.405 0.002
0.595 0.595 0.998
0.615 0.615 0.135
0.500 0.500 0.500


# 8
KHI, relaxed, DFT PBE; crystal system = monoclinic; VASP energy = -0.1086 Ha/atom; magnetization = 0.0 μB per formula unit; space group = No. 8
1.0
4.397 -2.516 0.000
4.397 2.516 0.000
-2.633 0.000 8.833
K H I
2 2 2
Direct
0.000 0.000 0.000
0.508 0.508 0.502
0.864 0.864 0.534
0.906 0.906 0.619
0.263 0.263 0.765
0.736 0.736 0.229